No. 1
TaMn4Pt: optimized geometry, PBE. Values from VASP.

## Properties
The calculation puts the formation enthalpy at 0 K at -17.0 kJ/mol of atoms. The space-group type is F-43m, No. 216.

Quantum ESPRESSO input file:
```
&SYSTEM
  ibrav = 0, nat = 6, ntyp = 3
/
ATOMIC_SPECIES
Ta 180.95 Ta.upf
Mn 54.94 Mn.upf
Pt 195.08 Pt.upf
CELL_PARAMETERS angstrom
0.000 3.364 3.364
3.364 0.000 3.364
3.364 3.364 0.000
ATOMIC_POSITIONS angstrom
Ta 0.000 0.000 0.000
Mn 2.546 2.546 2.546
Mn 4.183 4.183 2.546
Mn 4.183 2.546 4.183
Mn 2.546 4.183 4.183
Pt 5.046 5.046 5.046
```


No. 2
TaMn2Pt: optimized geometry, PBE. Values from VASP.

## Properties
The calculation puts the formation enthalpy at 0 K at 5.5 kJ/mol of atoms. The space-group type is R-3m, No. 166.

Quantum ESPRESSO input file:
```
&SYSTEM
  ibrav = 0, nat = 4, ntyp = 3
/
ATOMIC_SPECIES
Ta 180.95 Ta.upf
Mn 54.94 Mn.upf
Pt 195.08 Pt.upf
CELL_PARAMETERS angstrom
1.416 0.818 8.843
-1.416 0.818 8.843
0.000 -1.635 8.843
ATOMIC_POSITIONS angstrom
Ta 0.000 0.000 0.000
Mn 0.000 0.000 6.598
Mn 0.000 0.000 19.931
Pt 0.000 0.000 13.265
```


No. 3
TaMn4Pt5: optimized geometry, PBE. Values from VASP.

## Properties
The calculation puts the formation enthalpy at 0 K at -41.2 kJ/mol of atoms. The space-group type is P4/mmm, No. 123.

Quantum ESPRESSO input file:
```
&SYSTEM
  ibrav = 0, nat = 10, ntyp = 3
/
ATOMIC_SPECIES
Ta 180.95 Ta.upf
Mn 54.94 Mn.upf
Pt 195.08 Pt.upf
CELL_PARAMETERS angstrom
2.899 0.000 0.000
0.000 2.899 0.000
0.000 0.000 18.277
ATOMIC_POSITIONS angstrom
Ta 0.000 0.000 0.000
Mn 0.000 0.000 3.804
Mn 0.000 0.000 7.360
Mn 0.000 0.000 10.917
Mn 0.000 0.000 14.474
Pt 1.449 1.449 1.946
Pt 1.449 1.449 5.590
Pt 1.449 1.449 9.139
Pt 1.449 1.449 12.687
Pt 1.449 1.449 16.332
```